Material: TiAsBr2O
Method: DFT, PBE-GGA
State: relaxed

The structure in POSCAR format:
```
TiAsBr2O
1.0
4.9036 0.0000 0.0000
0.0000 4.9036 0.0000
0.0000 0.0000 5.1386
As O Br Ti
1 1 2 1
direct
0.0000 0.0000 0.5000
0.5000 0.5000 0.5000
0.0000 0.5000 0.0000
0.5000 0.0000 0.0000
0.0000 0.0000 0.0000
```

For the uncorrected formation energy, the calculation gives 0.2398 eV per atom. The energy above the most stable polymorph in this dataset comes out at 0.000 eV per atom.


Material: GeTeN
Method: DFT, PBE-GGA
State: relaxed

The structure in POSCAR format:
```
GeTeN
1.0
4.2437 -0.0023 0.4418
-0.0429 4.2435 0.4418
0.4936 0.4983 10.9640
Ge Te N
2 2 2
direct
0.7915 0.7915 0.8906
0.2085 0.2085 0.1094
0.3054 0.3054 0.8555
0.6946 0.6946 0.1445
0.9447 0.9447 0.5474
0.0553 0.0553 0.4526
```

For the uncorrected formation energy, the calculation gives -0.0209 eV per atom. The energy above the most stable polymorph in this dataset comes out at 0.000 eV per atom.


Material: Sm8Tm3Th2
Method: DFT, PBE-GGA
State: relaxed

The structure in POSCAR format:
```
Sm8Tm3Th2
1.0
-12.5451 -4.7621 -0.3493
6.3693 -0.8777 -1.8767
3.0846 -9.2120 14.7806
Sm Tm Th
16 6 4
direct
0.6357 0.6322 0.0827
0.6538 0.7235 0.4302
0.0279 0.9136 0.7630
0.6652 0.4700 0.8869
0.4722 0.0865 0.2630
0.8348 0.5300 0.3869
0.1356 0.6321 0.4173
0.8462 0.2765 0.9302
0.1538 0.7235 0.0698
0.8644 0.3679 0.5827
0.9721 0.0864 0.2370
0.5278 0.9135 0.7370
0.3348 0.5300 0.1131
0.1652 0.4700 0.6131
0.3462 0.2765 0.5698
0.3643 0.3678 0.9173
0.6066 0.8137 0.2553
0.5000 0.0000 0.5000
0.8934 0.1862 0.7553
0.1066 0.8138 0.2447
0.0000 0.0000 0.0000
0.3934 0.1863 0.7447
0.7586 0.3515 0.1138
0.7414 0.6486 0.6139
0.2586 0.3514 0.3861
0.2414 0.6485 0.8862
```

As for the formation energy: 152 meV per atom.


Material: Ca2MgIr
Method: DFT, PBE-GGA
State: relaxed

The structure in POSCAR format:
```
Ca2MgIr
1.0
-0.8159 -3.2548 -0.5787
2.2289 -1.0025 2.4954
-6.2966 0.5398 5.8410
Ca Ir Mg
2 1 1
direct
0.0000 0.0000 0.9486
0.5000 0.5000 0.3302
0.0000 0.0000 0.5418
0.5000 0.5000 0.6794
```

As for the formation energy: -148 meV per atom.


Material: Ca4PmPd5
Method: DFT, PBE-GGA
State: relaxed

The structure in POSCAR format:
```
Ca4PmPd5
1.0
-2.8026 1.1451 1.8724
-2.1063 -0.5498 -2.8165
-3.0590 -16.4907 5.5068
Ca Pm Pd
4 1 5
direct
0.0000 0.0000 0.2043
0.0000 0.0000 0.4012
0.0000 0.0000 0.5988
0.0000 0.0000 0.7957
0.0000 0.0000 0.0000
0.5000 0.5000 0.0976
0.5000 0.5000 0.3020
0.5000 0.5000 0.5000
0.5000 0.5000 0.6980
0.5000 0.5000 0.9024
```

As for the formation energy: -710 meV per atom.


Material: BeCo4As
Method: DFT, PBE-GGA
State: relaxed

The structure in POSCAR format:
```
BeCo4As
1.0
1.2378 -4.2018 -1.6083
-3.2521 -3.2597 -0.7558
-1.0890 -1.2413 -4.3642
Be Co As
1 4 1
direct
0.0000 0.0000 0.0000
0.6253 0.6253 0.1241
0.6253 0.1241 0.6253
0.6253 0.6253 0.6253
0.1241 0.6253 0.6253
0.2500 0.2500 0.2500
```

As for the formation energy: 343 meV per atom.


| no. | ρ (g/cm3) |
| --- | --- |
| 1 | 4.01 |
| 2 | 3.64 |
| 3 | 8.25 |
| 4 | 4.81 |
| 5 | 6.22 |
| 6 | 7.39 |